# 1
DFT (SCAN) results for a PBEsol-optimized structure of CaInBr.

Properties
Density, kg/m3: 4098
Raw formation energy, eV/atom: -0.89
Energy, Ha/atom: -0.7983

```
data_CaInBr
_chemical_formula_sum 'Ca1 In1 Br1'
_cell_length_a 3.7293
_cell_length_b 3.7293
_cell_length_c 7.8986
_cell_angle_alpha 90.00
_cell_angle_beta 90.00
_cell_angle_gamma 120.00
_space_group_name_H-M_alt 'P 3 m 1'
_space_group_IT_number 156
loop_
_space_group_symop_operation_xyz
'x,y,z'
'-y,x-y,z'
'-x+y,-x,z'
'-y,-x,z'
'-x+y,y,z'
'x,x-y,z'
loop_
_atom_site_label
_atom_site_fract_x
_atom_site_fract_y
_atom_site_fract_z
Ca1 0.0000 0.0000 0.0000
In1 0.6667 0.3333 0.6807
Br1 0.3333 0.6667 0.2304
```

# 2
DFT (SCAN) results for a PBEsol-optimized structure of NbCdGa2C.

Properties
E_form, eV per atom: 0.926
Density, kg/m3: 5538
Energy, Ha/atom: -0.7475

```
data_NbCdGa2C
_chemical_formula_sum 'Nb1 Cd1 Ga2 C1'
_cell_length_a 5.121
_cell_length_b 5.121
_cell_length_c 4.079
_cell_angle_alpha 90.00
_cell_angle_beta 90.00
_cell_angle_gamma 90.00
_space_group_name_H-M_alt 'P 4/m m m'
_space_group_IT_number 123
_space_group_name_Hall '-P 4 2'
loop_
_atom_site_label
_atom_site_fract_x
_atom_site_fract_y
_atom_site_fract_z
Nb1 0.000 0.000 0.000
Cd1 0.500 0.500 0.500
Ga1 0.000 0.500 0.000
C1 0.000 0.000 0.500
```

# 3
DFT (SCAN) results for a PBEsol-optimized structure of ScNbZn2Co.

Properties
E_form, eV per atom: 1.179
Density, kg/m3: 6144
Energy, Ha/atom: -0.6307

```
data_ScNbZn2Co
_chemical_formula_sum 'Sc1 Nb1 Zn2 Co1'
_cell_length_a 4.679
_cell_length_b 4.679
_cell_length_c 4.044
_cell_angle_alpha 90.00
_cell_angle_beta 90.00
_cell_angle_gamma 90.00
_space_group_name_H-M_alt 'P 4/m m m'
_space_group_IT_number 123
_space_group_name_Hall '-P 4 2'
loop_
_atom_site_label
_atom_site_fract_x
_atom_site_fract_y
_atom_site_fract_z
Sc1 0.000 0.000 0.000
Nb1 0.500 0.500 0.500
Zn1 0.000 0.500 0.000
Co1 0.000 0.000 0.500
```

N(E_F) for the records above, in order: 1.2; 2.6; 2.8 states/eV/f.u.